## BaHgW2O8 (GGA+U)

Data for a relaxed BaHgW2O8 crystal.

Cell lengths 6.583, 6.583, 6.583 Å; angles 107.15, 107.15, 114.21 degrees
Positions (direct):
1 O 0.903 0.216 0.313
2 O 0.839 0.657 0.182
3 O 0.784 0.097 0.687
4 O 0.343 0.525 0.182
5 O 0.903 0.590 0.687
6 O 0.410 0.097 0.313
7 O 0.343 0.161 0.818
8 O 0.475 0.657 0.818
9 Hg 0.000 0.000 0.000
10 W 0.750 0.250 0.500
11 W 0.500 0.500 0.000
12 Ba 0.250 0.750 0.500

## Properties
- Final energy: -77.9 eV for the cell shown
- Total moment: 0.0 μB/cell
- Space-group type: No. 119